[1]
# CsCu2Br6, optimized geometry, DFT PBE-GGA
# Fermi-level density of states = 0.436 states/eV/atom
# Electronic total energy = -48.71 eV per cell
data_CsCu2Br6
_space_group_name_H-M_alt 'C 1 2/m 1'
_space_group_IT_number 12
_space_group_name_Hall '-C 2y'
_cell_length_a 11.412
_cell_length_b 7.007
_cell_length_c 9.863
_cell_angle_alpha 90.00
_cell_angle_beta 121.12
_cell_angle_gamma 90.00
loop_
_atom_site_label
_atom_site_type_symbol
_atom_site_fract_x
_atom_site_fract_y
_atom_site_fract_z
Cs1 Cs 0.000 0.000 0.000
Cu1 Cu 0.121 0.500 0.433
Br1 Br 0.088 0.500 0.175
Br2 Br 0.125 0.500 0.683
Br3 Br 0.141 0.000 0.445

[2]
# Tb3SmPb5, optimized geometry, DFT PBE-GGA
# Fermi-level density of states = 0.987 states/eV/atom
# Formation enthalpy at 0 K = -0.4146 eV per atom
data_Tb3SmPb5
_space_group_name_H-M_alt 'P 63/m c m'
_space_group_IT_number 193
_space_group_name_Hall '-P 6c 2'
_cell_length_a 9.6367
_cell_length_b 9.6367
_cell_length_c 6.5223
_cell_angle_alpha 90.00
_cell_angle_beta 90.00
_cell_angle_gamma 120.00
loop_
_atom_site_label
_atom_site_type_symbol
_atom_site_fract_x
_atom_site_fract_y
_atom_site_fract_z
Tb1 Tb 0.0000 0.3788 0.2500
Sm1 Sm 0.0000 0.0000 0.0000
Pb1 Pb 0.0000 0.2933 0.7500
Pb2 Pb 0.3333 0.6667 0.0000

[3]
# Cu2IrSe, optimized geometry, DFT PBE-GGA
# Fermi-level density of states = 0.908 states/eV/atom
# Electronic total energy = -38.75 eV per cell
data_Cu2IrSe
_space_group_name_H-M_alt 'I -4 m 2'
_space_group_IT_number 119
_space_group_name_Hall 'I -4 -2'
_cell_length_a 3.851
_cell_length_b 3.851
_cell_length_c 7.644
_cell_angle_alpha 90.00
_cell_angle_beta 90.00
_cell_angle_gamma 90.00
loop_
_atom_site_label
_atom_site_type_symbol
_atom_site_fract_x
_atom_site_fract_y
_atom_site_fract_z
Cu1 Cu 0.000 0.000 0.000
Cu2 Cu 0.000 0.500 0.250
Ir1 Ir 0.000 0.500 0.750
Se1 Se 0.000 0.000 0.500

Among the records above, which one has the lowest Fermi-level density of states? CsCu2Br6

Look up the Fermi-level density of states of the second one. 0.987 states/eV/atom